# Sr2WAu (PBE, optimized geometry)
data_Sr2WAu
_space_group_name_H-M_alt 'P 1'
_space_group_IT_number 1
_cell_length_a 3.2871
_cell_length_b 3.2930
_cell_length_c 9.9832
_cell_angle_alpha 70.70
_cell_angle_beta 90.00
_cell_angle_gamma 90.00
loop_
_space_group_symop_operation_xyz
'x,y,z'
loop_
_atom_site_label
_atom_site_type_symbol
_atom_site_fract_x
_atom_site_fract_y
_atom_site_fract_z
_atom_site_occupancy
Au1 Au 0.5000 0.7500 0.7500 1
Sr1 Sr 0.0000 0.0053 0.9939 1
Sr2 Sr 0.0000 0.4947 0.5061 1
W1 W 0.5000 0.2500 0.2500 1
# Polymorph energy (0 for the lowest one) ... 0.213 eV/f.u.
# ΔH_f (0 K) ... 0.56 eV per atom
# Spin magnetization ... 0.000 μB/atom